Entry 1:
Here is an optimized crystal structure of Y2HSe from the Alexandria database. Energies are from GGA-PBE.

Cell: 6.7782 6.7782 6.9726 Å, 90.00 90.00 90.00°
Closest atoms and distances in Å follow each position.
Space group I-42d (No. 122)
Symmetry-distinct sites (fractional):
Y  0.1748  0.2500  0.1250  2 H 2.24
H  0.0000  0.0000  0.0000  4 Y 2.24
Se  0.0000  0.0000  0.5000  4 Y 2.91

***

Entry 2:
Here is an optimized crystal structure of YHSe2 from the Alexandria database. Energies are from GGA-PBE.

Cell: 9.3005 3.9840 10.3589 Å, 90.00 116.04 90.00°
Closest atoms and distances in Å follow each position.
Space group P2_1/c (No. 14)
Symmetry-distinct sites (fractional):
Y  0.1717  0.0658  0.3331  3 H 2.14-2.25
H  0.0641  0.5649  0.3396  3 Y 2.14-2.25
Se  0.1716  0.5622  0.1212  1 Se 2.46
Se  0.4101  0.5868  0.3546  1 Se 2.46

***

Entry 3:
Here is an optimized crystal structure of YHSe2 from the Alexandria database. Energies are from GGA-PBE.

Cell: 7.4830 3.7862 6.1960 Å, 90.00 101.31 90.00°
Closest atoms and distances in Å follow each position.
Space group C2/m (No. 12)
Symmetry-distinct sites (fractional):
Y  0.0000  0.0000  0.0000  6 Se 2.84-2.89, 2 H 3.10
H  0.0000  0.0000  0.5000  4 Se 2.47
Se  0.1374  0.5000  0.7310  2 H 2.47

***

Entry 4:
Here is an optimized crystal structure of YHSe2 from the Alexandria database. Energies are from GGA-PBE.

Cell: 8.1223 8.0553 7.3038 Å, 90.00 122.83 90.00°
Closest atoms and distances in Å follow each position.
Space group Cc (No. 9)
Symmetry-distinct sites (fractional):
Y  0.0000  0.1320  0.0000  5 Se 2.76-2.93
H  0.3792  0.2397  0.9860  1 Se 1.49
Se  0.2264  0.1257  0.4489  3 Y 2.76-2.93
Se  0.2564  0.3732  0.9950  1 H 1.49

***

Going through the records in order, we get distance to the lowest polymorph of the same formula values of 0.1147 0.2759 0.5742 0.0776 eV per atom.